CdCo2CuGe: optimized geometry, PBE-GGA.

a = 4.433 Å, b = 4.433 Å, c = 4.749 Å
α = 90.00°, β = 90.00°, γ = 90.00°
Fractional positions:
Cd (0.000, 0.000, 0.000)
Co (0.000, 0.500, 0.500)
Co (0.500, 0.000, 0.500)
Cu (0.000, 0.000, 0.500)
Ge (0.500, 0.500, 0.000)

Summary:
V: 18.66 Å³ per atom
Formation energy from the elements: 1.0223 eV/atom
Electronic total energy: -3.746 eV/atom
Spin magnetization: 3.544 μB/cell
Symmetry: P4/mmm


CdCoCu2H: optimized geometry, PBE-GGA.

a = 3.943 Å, b = 3.943 Å, c = 3.605 Å
α = 90.00°, β = 90.00°, γ = 90.00°
Fractional positions:
Cd (0.000, 0.000, 0.000)
Co (0.500, 0.500, 0.000)
Cu (0.000, 0.500, 0.500)
Cu (0.500, 0.000, 0.500)
H (0.500, 0.500, 0.500)

Summary:
V: 11.21 Å³ per atom
Electronic total energy: -3.778 eV/atom
Spin magnetization: 0.000 μB/cell
Symmetry: P4/mmm


CdCo2CuH: optimized geometry, PBE-GGA.

a = 3.711 Å, b = 3.711 Å, c = 4.025 Å
α = 90.00°, β = 90.00°, γ = 90.00°
Fractional positions:
Cd (0.000, 0.000, 0.000)
Co (0.000, 0.500, 0.500)
Co (0.500, 0.000, 0.500)
Cu (0.500, 0.500, 0.000)
H (0.500, 0.500, 0.500)

Summary:
V: 11.08 Å³ per atom
Electronic total energy: -4.297 eV/atom
Spin magnetization: 2.390 μB/cell
Symmetry: P4/mmm